# DySc2PaS4 PBE-GGA relaxed
data_DySc2PaS4
_cell_length_a 6.565
_cell_length_b 3.761
_cell_length_c 6.623
_cell_angle_alpha 90.00
_cell_angle_beta 108.93
_cell_angle_gamma 90.00
_symmetry_space_group_name_H-M 'P 1 2/m 1'
_symmetry_Int_Tables_number 10
_symmetry_space_group_name_Hall '-P 2y'
loop_
_atom_site_label
_atom_site_type_symbol
_atom_site_fract_x
_atom_site_fract_y
_atom_site_fract_z
_atom_site_occupancy
Dy1 Dy 0.000 0.000 0.000 1
Sc1 Sc 0.000 0.500 0.500 1
Sc2 Sc 0.500 0.000 0.500 1
Pa1 Pa 0.500 0.500 0.000 1
S1 S 0.242 0.000 0.731 1
S2 S 0.255 0.500 0.267 1
# - E_tot (hartree per atom) = -0.2652

***

# Dy2ScPaS4 PBE-GGA relaxed
data_Dy2ScPaS4
_cell_length_a 6.671
_cell_length_b 3.827
_cell_length_c 6.706
_cell_angle_alpha 90.00
_cell_angle_beta 108.98
_cell_angle_gamma 90.00
_symmetry_space_group_name_H-M 'P 1 2/m 1'
_symmetry_Int_Tables_number 10
_symmetry_space_group_name_Hall '-P 2y'
loop_
_atom_site_label
_atom_site_type_symbol
_atom_site_fract_x
_atom_site_fract_y
_atom_site_fract_z
_atom_site_occupancy
Dy1 Dy 0.000 0.000 0.000 1
Dy2 Dy 0.000 0.500 0.500 1
Sc1 Sc 0.500 0.000 0.500 1
Pa1 Pa 0.500 0.500 0.000 1
S1 S 0.253 0.000 0.742 1
S2 S 0.260 0.500 0.261 1
# - E_tot (hartree per atom) = -0.2582

***

# Dy2Pa2Se2S5 PBE-GGA relaxed
data_Dy2Pa2Se2S5
_cell_length_a 5.309
_cell_length_b 5.309
_cell_length_c 23.569
_cell_angle_alpha 90.00
_cell_angle_beta 90.00
_cell_angle_gamma 90.00
_symmetry_space_group_name_H-M 'I 4/m m m'
_symmetry_Int_Tables_number 139
_symmetry_space_group_name_Hall '-I 4 2'
loop_
_atom_site_label
_atom_site_type_symbol
_atom_site_fract_x
_atom_site_fract_y
_atom_site_fract_z
_atom_site_occupancy
Dy1 Dy 0.000 0.000 0.160 1
Pa1 Pa 0.000 0.000 0.389 1
Se1 Se 0.000 0.000 0.275 1
S1 S 0.000 0.000 0.500 1
S2 S 0.000 0.500 0.118 1
# - E_tot (hartree per atom) = -0.2439

***

It is found that the formation energy (no corrections) values, taken in the order of the records, are -1.806; -1.835; -1.565 eV per atom.